# 1
Below is Rb3ZrBe after structural relaxation, with properties calculated at the PBE-GGA level.

Output
M_tot in μB per atom: 1.003
Energy relative to the elements in eV per atom: 1.58
Calculated total energy in eV per atom: -1.4529

Cell: 7.091 7.091 7.091 Å, 90.00 90.00 90.00°
Fractional coordinates of all 5 atoms:
Rb: 0.000 0.000 0.500
Rb: 0.000 0.500 0.000
Rb: 0.500 0.000 0.000
Zr: 0.000 0.000 0.000
Be: 0.500 0.500 0.500


# 2
Below is Rb2ZrBe after structural relaxation, with properties calculated at the PBE-GGA level.

Output
M_tot in μB per atom: 0.323
Relative energy among the computed polymorphs in eV per atom: 0.000
Energy relative to the elements in eV per atom: 1.23
Calculated total energy in eV per atom: -2.3273

Cell: 9.752 9.752 9.752 Å, 93.41 93.41 151.78°
Fractional coordinates of all 8 atoms:
Rb: 0.375 0.202 0.327
Rb: 0.798 0.125 0.173
Rb: 0.875 0.048 0.673
Rb: 0.952 0.625 0.827
Zr: 0.250 0.750 0.500
Zr: 0.500 0.500 0.000
Be: 0.000 0.000 0.000
Be: 0.750 0.250 0.500


# 3
Below is Be3Re after structural relaxation, with properties calculated at the PBE-GGA level.

Output
M_tot in μB per atom: 0.000
Energy relative to the elements in eV per atom: -0.20
Calculated total energy in eV per atom: -6.1067

Cell: 3.483 4.672 4.611 Å, 90.00 90.00 90.00°
Fractional coordinates of all 8 atoms:
Be: 0.250 0.014 0.132
Be: 0.250 0.486 0.132
Be: 0.250 0.750 0.740
Be: 0.750 0.250 0.260
Be: 0.750 0.514 0.868
Be: 0.750 0.986 0.868
Re: 0.250 0.250 0.613
Re: 0.750 0.750 0.387


# 4
Below is BeRe after structural relaxation, with properties calculated at the PBE-GGA level.

Output
M_tot in μB per atom: 0.000
Relative energy among the computed polymorphs in eV per atom: 0.387
Energy relative to the elements in eV per atom: 0.21
Calculated total energy in eV per atom: -7.8807

Cell: 2.672 4.333 4.325 Å, 90.00 90.00 90.00°
Fractional coordinates of all 4 atoms:
Be: 0.250 0.250 0.077
Be: 0.750 0.750 0.923
Re: 0.250 0.750 0.407
Re: 0.750 0.250 0.593